# LaThSe2 (GGA-PBE, optimized geometry)
# Raw total energy   -0.4847 Ry/atom
# Distance to the lowest polymorph of the same formula   0 kJ/mol of formula units
# Magnetic moment   0.000 μB per formula unit
data_LaThSe2
_chemical_formula_sum 'La3 Th3 Se6'
_symmetry_space_group_name_H-M 'R -3 m'
_symmetry_Int_Tables_number 166
_symmetry_space_group_name_Hall '-R 3 2"'
_cell_length_a 4.2111
_cell_length_b 4.2111
_cell_length_c 21.2799
_cell_angle_alpha 90.00
_cell_angle_beta 90.00
_cell_angle_gamma 120.00
loop_
_atom_site_label
_atom_site_fract_x
_atom_site_fract_y
_atom_site_fract_z
_atom_site_occupancy
La1 0.0000 0.0000 0.0000 1
Th1 0.0000 0.0000 0.5000 1
Se1 0.0000 0.0000 0.2486 1